Entry 1:
DFT (SCAN) results for a PBEsol-optimized structure of Dy2SiSeO4.

Cell lengths 5.971, 6.889, 10.685 Å; angles 90.00, 90.00, 90.00 degrees
Element x y z (fractional)
Dy (0.107, 0.250, 0.000)
Dy (0.107, 0.250, 0.500)
Dy (0.368, 0.528, 0.250)
Dy (0.368, 0.972, 0.750)
Dy (0.632, 0.028, 0.250)
Dy (0.632, 0.472, 0.750)
Dy (0.893, 0.750, 0.000)
Dy (0.893, 0.750, 0.500)
Si (0.388, 0.750, 0.000)
Si (0.388, 0.750, 0.500)
Si (0.612, 0.250, 0.000)
Si (0.612, 0.250, 0.500)
Se (0.080, 0.622, 0.750)
Se (0.080, 0.878, 0.250)
Se (0.920, 0.122, 0.750)
Se (0.920, 0.378, 0.250)
O (0.223, 0.567, 0.033)
O (0.223, 0.567, 0.467)
O (0.223, 0.933, 0.533)
O (0.223, 0.933, 0.967)
O (0.443, 0.241, 0.622)
O (0.443, 0.241, 0.878)
O (0.443, 0.259, 0.122)
O (0.443, 0.259, 0.378)
O (0.557, 0.741, 0.622)
O (0.557, 0.741, 0.878)
O (0.557, 0.759, 0.122)
O (0.557, 0.759, 0.378)
O (0.777, 0.067, 0.033)
O (0.777, 0.067, 0.467)
O (0.777, 0.433, 0.533)
O (0.777, 0.433, 0.967)

Computed properties:
Crystal system   orthorhombic
Calculated total energy   -708.5 eV/cell
M_tot   0.00 μB per cell
Formation energy from raw total energies   -76.43 kcal/mol of atoms
Space-group type   Pbcm

=====

Entry 2:
DFT (SCAN) results for a PBEsol-optimized structure of Dy2Sn2O7.

Cell lengths 7.334, 7.334, 7.334 Å; angles 60.00, 60.00, 60.00 degrees
Element x y z (fractional)
Dy (0.000, 0.000, 0.000)
Dy (0.000, 0.000, 0.500)
Dy (0.000, 0.500, 0.000)
Dy (0.500, 0.000, 0.000)
Sn (0.000, 0.500, 0.500)
Sn (0.500, 0.000, 0.500)
Sn (0.500, 0.500, 0.000)
Sn (0.500, 0.500, 0.500)
O (0.125, 0.125, 0.125)
O (0.160, 0.160, 0.590)
O (0.160, 0.590, 0.160)
O (0.160, 0.590, 0.590)
O (0.410, 0.410, 0.840)
O (0.410, 0.840, 0.410)
O (0.410, 0.840, 0.840)
O (0.590, 0.160, 0.160)
O (0.590, 0.160, 0.590)
O (0.590, 0.590, 0.160)
O (0.840, 0.410, 0.410)
O (0.840, 0.410, 0.840)
O (0.840, 0.840, 0.410)
O (0.875, 0.875, 0.875)

Computed properties:
Crystal system   cubic
Calculated total energy   -484.4 eV/cell
M_tot   0.00 μB per cell
Formation energy from raw total energies   -65.34 kcal/mol of atoms
Space-group type   Fd-3m

=====

Entry 3:
DFT (SCAN) results for a PBEsol-optimized structure of DyTa7O19.

Cell lengths 6.198, 6.198, 19.907 Å; angles 90.00, 90.00, 120.00 degrees
Element x y z (fractional)
Dy (0.000, 0.000, 0.000)
Dy (0.000, 0.000, 0.500)
Ta (0.333, 0.029, 0.156)
Ta (0.333, 0.029, 0.344)
Ta (0.333, 0.304, 0.656)
Ta (0.333, 0.304, 0.844)
Ta (0.667, 0.333, 0.000)
Ta (0.667, 0.333, 0.500)
Ta (0.696, 0.029, 0.656)
Ta (0.696, 0.029, 0.844)
Ta (0.696, 0.667, 0.156)
Ta (0.696, 0.667, 0.344)
Ta (0.971, 0.304, 0.156)
Ta (0.971, 0.304, 0.344)
Ta (0.971, 0.667, 0.656)
Ta (0.971, 0.667, 0.844)
O (0.000, 0.000, 0.130)
O (0.000, 0.000, 0.370)
O (0.000, 0.000, 0.630)
O (0.000, 0.000, 0.870)
O (0.085, 0.419, 0.653)
O (0.085, 0.419, 0.847)
O (0.085, 0.666, 0.153)
O (0.085, 0.666, 0.347)
O (0.286, 0.044, 0.250)
O (0.286, 0.242, 0.750)
O (0.334, 0.419, 0.153)
O (0.334, 0.419, 0.347)
O (0.334, 0.915, 0.653)
O (0.334, 0.915, 0.847)
O (0.377, 0.097, 0.056)
O (0.377, 0.097, 0.444)
O (0.377, 0.280, 0.556)
O (0.377, 0.280, 0.944)
O (0.581, 0.666, 0.653)
O (0.581, 0.666, 0.847)
O (0.581, 0.915, 0.153)
O (0.581, 0.915, 0.347)
O (0.667, 0.333, 0.167)
O (0.667, 0.333, 0.333)
O (0.667, 0.333, 0.667)
O (0.667, 0.333, 0.833)
O (0.720, 0.097, 0.556)
O (0.720, 0.097, 0.944)
O (0.720, 0.623, 0.056)
O (0.720, 0.623, 0.444)
O (0.758, 0.044, 0.750)
O (0.758, 0.714, 0.250)
O (0.903, 0.280, 0.056)
O (0.903, 0.280, 0.444)
O (0.903, 0.623, 0.556)
O (0.903, 0.623, 0.944)
O (0.956, 0.242, 0.250)
O (0.956, 0.714, 0.750)

Computed properties:
Crystal system   hexagonal
Calculated total energy   -1435.1 eV/cell
M_tot   0.00 μB per cell
Formation energy from raw total energies   -72.82 kcal/mol of atoms
Space-group type   P-6c2

=====

Entry 4:
DFT (SCAN) results for a PBEsol-optimized structure of DyTaO4.

Cell lengths 5.102, 5.408, 5.283 Å; angles 90.00, 96.71, 90.00 degrees
Element x y z (fractional)
Dy (0.000, 0.235, 0.250)
Dy (0.000, 0.765, 0.750)
Ta (0.500, 0.305, 0.750)
Ta (0.500, 0.695, 0.250)
O (0.250, 0.079, 0.599)
O (0.250, 0.921, 0.099)
O (0.266, 0.441, 0.990)
O (0.266, 0.559, 0.490)
O (0.734, 0.441, 0.510)
O (0.734, 0.559, 0.010)
O (0.750, 0.079, 0.901)
O (0.750, 0.921, 0.401)

Computed properties:
Crystal system   monoclinic
Calculated total energy   -321.4 eV/cell
M_tot   0.00 μB per cell
Formation energy from raw total energies   -82.19 kcal/mol of atoms
Space-group type   P2/c

=====

Entry 5:
DFT (SCAN) results for a PBEsol-optimized structure of DyTaO4.

Cell lengths 6.455, 6.455, 5.040 Å; angles 110.42, 110.42, 115.04 degrees
Element x y z (fractional)
Dy (0.132, 0.868, 0.750)
Dy (0.868, 0.132, 0.250)
Ta (0.400, 0.600, 0.250)
Ta (0.600, 0.400, 0.750)
O (0.131, 0.554, 0.340)
O (0.227, 0.287, 0.783)
O (0.287, 0.227, 0.283)
O (0.446, 0.869, 0.160)
O (0.554, 0.131, 0.840)
O (0.713, 0.773, 0.717)
O (0.773, 0.713, 0.217)
O (0.869, 0.446, 0.660)

Computed properties:
Crystal system   monoclinic
Calculated total energy   -321.4 eV/cell
M_tot   0.00 μB per cell
Formation energy from raw total energies   -82.15 kcal/mol of atoms
Space-group type   C2/c

=====

Entry 6:
DFT (SCAN) results for a PBEsol-optimized structure of Dy2TeO2.

Cell lengths 3.879, 3.879, 12.294 Å; angles 90.00, 90.00, 90.00 degrees
Element x y z (fractional)
Dy (0.000, 0.000, 0.162)
Dy (0.000, 0.000, 0.838)
Dy (0.500, 0.500, 0.338)
Dy (0.500, 0.500, 0.662)
Te (0.000, 0.000, 0.500)
Te (0.500, 0.500, 0.000)
O (0.000, 0.500, 0.250)
O (0.000, 0.500, 0.750)
O (0.500, 0.000, 0.250)
O (0.500, 0.000, 0.750)

Computed properties:
Crystal system   tetragonal
Calculated total energy   -323.3 eV/cell
M_tot   0.00 μB per cell
Formation energy from raw total energies   -75.27 kcal/mol of atoms
Space-group type   I4/mmm

=====

Entry 7:
DFT (SCAN) results for a PBEsol-optimized structure of Dy2Te5O13.

Cell lengths 6.909, 8.549, 10.427 Å; angles 89.02, 87.29, 74.99 degrees
Element x y z (fractional)
Dy (0.000, 0.237, 0.237)
Dy (0.000, 0.763, 0.763)
Dy (0.446, 0.970, 0.821)
Dy (0.554, 0.030, 0.179)
Te (0.128, 0.847, 0.101)
Te (0.151, 0.302, 0.635)
Te (0.268, 0.898, 0.478)
Te (0.291, 0.383, 0.968)
Te (0.434, 0.406, 0.306)
Te (0.566, 0.594, 0.694)
Te (0.709, 0.617, 0.032)
Te (0.732, 0.102, 0.522)
Te (0.849, 0.698, 0.365)
Te (0.872, 0.153, 0.899)
O (0.038, 0.851, 0.561)
O (0.050, 0.517, 0.691)
O (0.060, 0.318, 0.031)
O (0.067, 0.775, 0.281)
O (0.123, 0.985, 0.898)
O (0.238, 0.998, 0.183)
O (0.315, 0.232, 0.292)
O (0.325, 0.242, 0.774)
O (0.330, 0.723, 0.776)
O (0.331, 0.018, 0.615)
O (0.346, 0.487, 0.125)
O (0.456, 0.693, 0.514)
O (0.472, 0.175, 0.996)
O (0.528, 0.825, 0.004)
O (0.544, 0.307, 0.486)
O (0.654, 0.513, 0.875)
O (0.669, 0.982, 0.385)
O (0.670, 0.277, 0.224)
O (0.675, 0.758, 0.226)
O (0.685, 0.768, 0.708)
O (0.762, 0.002, 0.817)
O (0.877, 0.015, 0.102)
O (0.933, 0.225, 0.719)
O (0.940, 0.682, 0.969)
O (0.950, 0.483, 0.309)
O (0.962, 0.149, 0.439)

Computed properties:
Crystal system   triclinic
Calculated total energy   -801.4 eV/cell
M_tot   0.00 μB per cell
Formation energy from raw total energies   -43.65 kcal/mol of atoms
Space-group type   P-1

=====

Entry 8:
DFT (SCAN) results for a PBEsol-optimized structure of DyTiO3.

Cell lengths 5.655, 7.575, 5.262 Å; angles 90.00, 90.00, 90.00 degrees
Element x y z (fractional)
Dy (0.074, 0.250, 0.023)
Dy (0.426, 0.750, 0.523)
Dy (0.574, 0.250, 0.477)
Dy (0.926, 0.750, 0.977)
Ti (0.000, 0.000, 0.500)
Ti (0.000, 0.500, 0.500)
Ti (0.500, 0.000, 0.000)
Ti (0.500, 0.500, 0.000)
O (0.045, 0.750, 0.378)
O (0.197, 0.558, 0.811)
O (0.197, 0.942, 0.811)
O (0.303, 0.058, 0.311)
O (0.303, 0.442, 0.311)
O (0.455, 0.250, 0.878)
O (0.545, 0.750, 0.122)
O (0.697, 0.558, 0.689)
O (0.697, 0.942, 0.689)
O (0.803, 0.058, 0.189)
O (0.803, 0.442, 0.189)
O (0.955, 0.250, 0.622)

Computed properties:
Crystal system   orthorhombic
Calculated total energy   -401.3 eV/cell
M_tot   4.00 μB per cell
Formation energy from raw total energies   -82.11 kcal/mol of atoms
Space-group type   Pnma

=====

Entry 9:
DFT (SCAN) results for a PBEsol-optimized structure of Dy2Ti2O7.

Cell lengths 7.107, 7.107, 7.107 Å; angles 60.00, 60.00, 60.00 degrees
Element x y z (fractional)
Dy (0.000, 0.000, 0.000)
Dy (0.000, 0.000, 0.500)
Dy (0.000, 0.500, 0.000)
Dy (0.500, 0.000, 0.000)
Ti (0.000, 0.500, 0.500)
Ti (0.500, 0.000, 0.500)
Ti (0.500, 0.500, 0.000)
Ti (0.500, 0.500, 0.500)
O (0.125, 0.125, 0.125)
O (0.169, 0.169, 0.581)
O (0.169, 0.581, 0.169)
O (0.169, 0.581, 0.581)
O (0.419, 0.419, 0.831)
O (0.419, 0.831, 0.419)
O (0.419, 0.831, 0.831)
O (0.581, 0.169, 0.169)
O (0.581, 0.169, 0.581)
O (0.581, 0.581, 0.169)
O (0.831, 0.419, 0.419)
O (0.831, 0.419, 0.831)
O (0.831, 0.831, 0.419)
O (0.875, 0.875, 0.875)

Computed properties:
Crystal system   cubic
Calculated total energy   -423.2 eV/cell
M_tot   0.00 μB per cell
Formation energy from raw total energies   -84.54 kcal/mol of atoms
Space-group type   Fd-3m

=====

Entry 10:
DFT (SCAN) results for a PBEsol-optimized structure of Dy14Ti10O41.

Cell lengths 7.232, 7.232, 17.452 Å; angles 90.39, 90.39, 59.38 degrees
Element x y z (fractional)
Dy (0.000, 0.000, 0.000)
Dy (0.006, 0.502, 0.022)
Dy (0.011, 0.011, 0.521)
Dy (0.160, 0.672, 0.694)
Dy (0.174, 0.174, 0.180)
Dy (0.316, 0.316, 0.361)
Dy (0.330, 0.837, 0.349)
Dy (0.466, 0.466, 0.525)
Dy (0.502, 0.006, 0.022)
Dy (0.654, 0.654, 0.677)
Dy (0.672, 0.160, 0.694)
Dy (0.803, 0.803, 0.851)
Dy (0.837, 0.330, 0.349)
Dy (0.842, 0.842, 0.334)
Ti (0.149, 0.149, 0.683)
Ti (0.175, 0.658, 0.189)
Ti (0.325, 0.325, 0.849)
Ti (0.329, 0.826, 0.852)
Ti (0.491, 0.491, 0.019)
Ti (0.507, 0.979, 0.514)
Ti (0.658, 0.175, 0.189)
Ti (0.665, 0.665, 0.177)
Ti (0.826, 0.329, 0.852)
Ti (0.979, 0.507, 0.514)
O (0.019, 0.430, 0.879)
O (0.027, 0.027, 0.873)
O (0.100, 0.666, 0.554)
O (0.158, 0.158, 0.054)
O (0.167, 0.167, 0.305)
O (0.205, 0.628, 0.304)
O (0.205, 0.650, 0.074)
O (0.216, 0.623, 0.825)
O (0.285, 0.285, 0.739)
O (0.288, 0.288, 0.489)
O (0.315, 0.867, 0.741)
O (0.330, 0.796, 0.195)
O (0.351, 0.351, 0.193)
O (0.351, 0.753, 0.957)
O (0.353, 0.353, 0.963)
O (0.353, 0.792, 0.475)
O (0.361, 0.998, 0.608)
O (0.430, 0.019, 0.879)
O (0.486, 0.486, 0.645)
O (0.543, 0.969, 0.406)
O (0.552, 0.961, 0.154)
O (0.623, 0.216, 0.825)
O (0.626, 0.626, 0.829)
O (0.628, 0.205, 0.304)
O (0.629, 0.629, 0.069)
O (0.650, 0.205, 0.074)
O (0.666, 0.100, 0.554)
O (0.666, 0.666, 0.288)
O (0.710, 0.710, 0.554)
O (0.753, 0.351, 0.957)
O (0.792, 0.353, 0.475)
O (0.796, 0.330, 0.195)
O (0.814, 0.814, 0.726)
O (0.828, 0.828, 0.974)
O (0.867, 0.315, 0.741)
O (0.910, 0.910, 0.211)
O (0.961, 0.552, 0.154)
O (0.969, 0.543, 0.406)
O (0.993, 0.993, 0.394)
O (0.998, 0.361, 0.608)
O (0.999, 0.999, 0.649)

Computed properties:
Crystal system   monoclinic
Calculated total energy   -1322.4 eV/cell
M_tot   0.00 μB per cell
Formation energy from raw total energies   -84.23 kcal/mol of atoms
Space-group type   Cm